Na3Sc3SbSe8: optimized geometry, PBE.

```
Na3Sc3SbSe8
1.0
7.887 0.000 0.000
-3.943 6.830 -0.026
0.000 -4.530 7.041
Sc Se Sb Na
3 8 1 3
direct
0.500 0.000 0.500
0.000 0.500 0.500
0.500 0.500 0.500
0.267 0.024 0.281
0.243 0.487 0.719
0.733 0.976 0.719
0.739 0.479 0.718
0.757 0.513 0.281
0.757 0.024 0.281
0.261 0.521 0.282
0.243 0.976 0.719
0.000 0.000 0.500
0.500 0.500 0.000
0.000 0.000 0.000
0.000 0.500 0.000
```

## Properties
Final energy in eV per atom: -4.9647
E_form (uncorrected) in eV/f.u.: -19.5

V6FeCo10: optimized geometry, PBE.

```
V6FeCo10
1.0
-0.115 -1.955 4.510
-0.931 -6.178 -2.702
6.304 2.295 1.156
Co Fe V
10 1 6
direct
0.183 0.696 0.000
0.817 0.304 0.000
0.000 0.667 0.333
0.500 0.667 0.333
0.183 0.000 0.696
0.817 0.000 0.304
0.500 0.333 0.667
0.817 0.696 0.696
0.000 0.333 0.667
0.183 0.304 0.304
0.500 0.000 0.000
0.701 0.652 0.000
0.299 0.000 0.348
0.701 0.000 0.652
0.299 0.348 0.000
0.701 0.348 0.348
0.299 0.652 0.652
```

## Properties
Final energy in eV per atom: -7.9055

Tl3HgRh: optimized geometry, PBE.

```
Tl3HgRh
1.0
-4.914 0.508 2.077
-3.088 -0.862 -7.500
-3.315 -6.146 2.129
Tl Rh Hg
6 2 2
direct
0.342 0.709 0.739
0.512 0.442 0.028
0.864 0.206 0.242
0.754 0.969 0.868
0.863 0.688 0.242
0.264 0.954 0.367
0.682 0.945 0.497
0.050 0.450 0.960
0.094 0.426 0.541
0.355 0.187 0.742
```

## Properties
Final energy in eV per atom: -2.9211
Distance to the lowest polymorph of the same formula in eV/atom: 0.0518

Sr2MgBr: optimized geometry, PBE.

```
Sr2MgBr
1.0
4.300 -0.002 -0.003
2.160 3.718 -0.003
2.166 1.246 9.483
Br Sr Mg
1 2 1
direct
0.750 0.750 0.750
0.005 0.005 0.988
0.495 0.495 0.512
0.250 0.250 0.250
```

## Properties
Final energy in eV per atom: -2.3461
E_form (uncorrected) in eV/f.u.: -2.8
Distance to the lowest polymorph of the same formula in eV/atom: 0.0339

NaZn2Te: optimized geometry, PBE.

```
NaZn2Te
1.0
-0.074 8.638 1.333
-4.765 -1.157 7.235
-0.071 3.527 5.796
Te Zn Na
2 4 2
direct
0.000 0.000 0.000
0.750 0.250 0.500
0.375 0.326 0.750
0.674 0.125 0.250
0.875 0.924 0.750
0.076 0.625 0.250
0.250 0.750 0.500
0.500 0.500 0.000
```

## Properties
Final energy in eV per atom: -1.7978
E_form (uncorrected) in eV/f.u.: -0.2

Sr2MnPb: optimized geometry, PBE.

```
Sr2MnPb
1.0
10.571 0.046 0.028
9.833 3.881 0.028
9.833 1.893 3.388
Mn Sr Pb
1 2 1
direct
0.250 0.250 0.250
0.507 0.507 0.507
0.993 0.993 0.993
0.750 0.750 0.750
```

## Properties
Final energy in eV per atom: -3.7998

Hf2Mg: optimized geometry, PBE.

```
Hf2Mg
1.0
-5.767 -0.952 0.285
-2.535 -3.742 -3.717
-2.026 -5.135 1.944
Hf Mg
4 2
direct
0.125 0.625 0.625
0.625 0.125 0.625
0.625 0.625 0.625
0.625 0.625 0.125
0.250 0.250 0.250
0.000 0.000 0.000
```

## Properties
Final energy in eV per atom: -6.7893

TlCd6In4: optimized geometry, PBE.

```
TlCd6In4
1.0
-4.622 -3.274 0.921
4.908 -2.154 -0.918
4.117 0.228 21.466
Cd In Tl
12 8 2
direct
0.991 0.981 0.674
0.009 0.019 0.326
0.263 0.526 0.898
0.737 0.474 0.102
0.278 0.556 0.250
0.500 0.000 0.000
0.991 0.981 0.826
0.500 0.000 0.500
0.009 0.019 0.174
0.737 0.474 0.398
0.263 0.526 0.602
0.722 0.444 0.750
0.403 0.806 0.371
0.149 0.298 0.035
0.149 0.298 0.465
0.403 0.806 0.129
0.597 0.194 0.871
0.597 0.194 0.629
0.851 0.702 0.965
0.851 0.702 0.535
0.636 0.272 0.250
0.364 0.728 0.750
```

## Properties
Final energy in eV per atom: -1.6560
Distance to the lowest polymorph of the same formula in eV/atom: 0.0000

SrMnP2Cl: optimized geometry, PBE.

```
SrMnP2Cl
1.0
5.762 0.000 0.000
0.000 5.762 0.000
0.000 0.000 5.353
P Sr Mn Cl
2 1 1 1
direct
0.500 0.000 0.000
0.000 0.500 0.000
0.000 0.000 0.000
0.500 0.500 0.500
0.000 0.000 0.500
```

## Properties
Final energy in eV per atom: -3.9726
E_form (uncorrected) in eV/f.u.: 3.7
Distance to the lowest polymorph of the same formula in eV/atom: 1.3583

Nd12Sm7Er: optimized geometry, PBE.

```
Nd12Sm7Er
1.0
-1.742 5.958 1.141
-5.274 -5.446 8.745
11.510 1.008 0.670
Nd Sm Er
12 7 1
direct
0.501 0.588 0.411
0.416 0.000 0.355
0.912 0.823 0.412
0.939 0.355 0.355
0.499 0.412 0.589
0.911 0.411 0.823
0.088 0.177 0.588
0.585 0.645 0.000
0.061 0.645 0.645
0.089 0.589 0.177
0.584 0.000 0.645
0.415 0.355 0.000
0.628 0.752 0.752
0.125 0.000 0.752
0.500 0.000 0.000
0.875 0.000 0.248
0.372 0.248 0.248
0.875 0.248 0.000
0.125 0.752 0.000
0.000 0.000 0.000
```

## Properties
Final energy in eV per atom: -4.5183

SmYGa2: optimized geometry, PBE.

```
SmYGa2
1.0
-0.784 -4.195 -1.100
3.945 -0.484 -0.966
1.471 0.532 5.740
Ga Y Sm
2 1 1
direct
0.158 0.500 0.857
0.010 0.000 0.556
0.720 0.000 0.981
0.443 0.500 0.423
```

## Properties
Final energy in eV per atom: -4.9455
Distance to the lowest polymorph of the same formula in eV/atom: 0.0000

Sc2CrP: optimized geometry, PBE.

```
Sc2CrP
1.0
7.539 -1.778 -0.036
7.539 1.778 -0.036
7.135 0.000 3.016
Sc P Cr
2 1 1
direct
0.735 0.735 0.735
0.265 0.265 0.265
0.000 0.000 0.000
0.500 0.500 0.500
```

## Properties
Final energy in eV per atom: -7.2205

Cs2YHI6: optimized geometry, PBE.

```
Cs2YHI6
1.0
-6.294 4.130 2.836
-4.803 -6.271 -1.527
-4.375 -3.445 6.717
H I Cs Y
1 6 2 1
direct
0.500 0.500 0.000
0.772 0.772 0.456
0.732 0.268 0.000
0.732 0.732 0.000
0.268 0.732 0.000
0.268 0.268 0.000
0.228 0.228 0.544
0.750 0.250 0.500
0.250 0.750 0.500
0.000 0.000 0.000
```

## Properties
Final energy in eV per atom: -3.0479

SiOs2Pt: optimized geometry, PBE.

```
SiOs2Pt
1.0
2.798 0.000 0.000
0.000 3.795 0.000
0.000 0.000 5.438
Pt Os Si
1 2 1
direct
0.000 0.000 0.519
0.500 0.500 0.218
0.000 0.000 0.016
0.500 0.500 0.747
```

## Properties
Final energy in eV per atom: -8.4273
E_form (uncorrected) in eV/f.u.: 0.2

YRhW2: optimized geometry, PBE.

```
YRhW2
1.0
7.783 0.000 0.000
0.000 7.783 0.000
3.891 3.891 2.625
Rh W Y
2 4 2
direct
0.000 0.000 0.000
0.750 0.250 0.500
0.875 0.922 0.750
0.078 0.625 0.250
0.375 0.328 0.750
0.672 0.125 0.250
0.500 0.500 0.000
0.250 0.750 0.500
```

## Properties
Final energy in eV per atom: -9.2728
Distance to the lowest polymorph of the same formula in eV/atom: 0.6081

TiCoRe2Te: optimized geometry, PBE.

```
TiCoRe2Te
1.0
4.524 0.000 0.000
0.000 4.524 0.000
0.000 0.000 4.437
Ti Re Co Te
1 2 1 1
direct
0.000 0.000 0.500
0.500 0.000 0.000
0.000 0.500 0.000
0.000 0.000 0.000
0.500 0.500 0.500
```

## Properties
Final energy in eV per atom: -7.6136
E_form (uncorrected) in eV/f.u.: 5.0

ScIn2Hg2: optimized geometry, PBE.

```
ScIn2Hg2
1.0
4.936 0.000 0.000
-2.468 4.274 0.000
0.000 0.000 12.104
In Sc Hg
4 2 4
direct
0.000 0.000 0.500
0.667 0.333 0.750
0.000 0.000 0.000
0.333 0.667 0.250
0.000 0.000 0.250
0.000 0.000 0.750
0.667 0.333 0.382
0.667 0.333 0.118
0.333 0.667 0.882
0.333 0.667 0.618
```

## Properties
Final energy in eV per atom: -2.5169
Distance to the lowest polymorph of the same formula in eV/atom: 0.0192

Nd4Er3Th: optimized geometry, PBE.

```
Nd4Er3Th
1.0
-3.198 -1.670 0.257
2.857 -5.543 -0.472
-1.514 8.693 12.199
Er Th Nd
3 1 4
direct
0.878 0.800 0.757
0.000 0.500 0.000
0.122 0.200 0.243
0.500 0.000 0.000
0.624 0.702 0.247
0.376 0.298 0.753
0.251 0.257 0.503
0.749 0.743 0.497
```

## Properties
Final energy in eV per atom: -5.0139
Distance to the lowest polymorph of the same formula in eV/atom: 0.0000

AcHfNpO6: optimized geometry, PBE.

```
AcHfNpO6
1.0
-2.983 -4.510 1.730
5.637 0.099 0.665
-1.191 4.410 9.443
Hf O Ac Np
2 12 2 2
direct
0.667 0.333 0.750
0.333 0.667 0.250
0.007 0.369 0.143
0.369 0.007 0.643
0.637 0.631 0.643
0.363 0.369 0.357
0.369 0.363 0.857
0.007 0.637 0.357
0.631 0.637 0.143
0.363 0.993 0.143
0.637 0.007 0.857
0.993 0.363 0.643
0.993 0.631 0.857
0.631 0.993 0.357
0.000 0.000 0.500
0.000 0.000 0.000
0.667 0.333 0.250
0.333 0.667 0.750
```

## Properties
Final energy in eV per atom: -9.5952
E_form (uncorrected) in eV/f.u.: -29.6

Dy3Ho2Tm2: optimized geometry, PBE.

```
Dy3Ho2Tm2
1.0
3.405 -0.719 0.445
-1.167 11.028 -0.744
0.893 -0.627 5.987
Dy Ho Tm
3 2 2
direct
0.000 0.000 0.000
0.429 0.571 0.285
0.571 0.429 0.715
0.857 0.143 0.571
0.143 0.857 0.429
0.715 0.286 0.143
0.285 0.714 0.857
```

## Properties
Final energy in eV per atom: -4.5360
Distance to the lowest polymorph of the same formula in eV/atom: 0.0000